[1]
A relaxed structure of AcTlI4. Source: the Alexandria database, functional GGA-PBE.

```
AcTlI4
1.0
4.937 -0.002 -0.001
-2.460 7.432 -1.532
0.002 0.269 8.889
Ac Tl I
1 1 4
Cartesian
-2.458 7.701 7.356
2.469 0.134 4.443
2.477 5.833 4.731
0.001 1.868 2.623
0.007 5.657 -0.173
2.470 2.042 7.529
```

Computed properties:
theoretical density = 4.8 g/cm3
energy = -3.35 eV per atom
distance to the lowest polymorph of the same formula = 0.000 eV per atom
energy relative to the elements, uncorrected = -1.24 eV per atom

[2]
A relaxed structure of Tb6DyTl5. Source: the Alexandria database, functional GGA-PBE.

```
Tb6DyTl5
1.0
6.262 0.190 0.000
2.027 10.185 0.000
1.013 5.092 5.637
Tb Dy Tl
6 1 5
Cartesian
5.167 2.914 2.006
3.122 7.460 2.006
1.971 2.851 0.000
6.318 7.523 0.000
6.180 8.007 3.631
4.136 12.552 3.631
0.000 0.000 0.000
4.144 5.187 4.059
1.013 5.092 2.248
4.144 5.187 0.000
2.027 10.185 3.389
5.158 10.279 1.577
```

Computed properties:
theoretical density = 9.9 g/cm3
energy = -3.87 eV per atom
formation enthalpy at 0 K = -0.187 eV/atom
distance to the lowest polymorph of the same formula = 0.094 eV per atom

[3]
A relaxed structure of MgCuTc2. Source: the Alexandria database, functional GGA-PBE.

```
MgCuTc2
1.0
-1.269 0.673 8.932
-0.165 -1.889 8.846
1.503 0.348 8.915
Cu Mg Tc
1 1 2
Cartesian
0.034 -0.435 13.393
0.052 -0.653 20.078
0.068 -0.863 26.548
0.017 -0.218 6.715
```

Computed properties:
theoretical density = 7.8 g/cm3
energy = -6.51 eV per atom
formation enthalpy at 0 K = 0.097 eV/atom

[4]
A relaxed structure of Tb2HoSe4. Source: the Alexandria database, functional GGA-PBE.

```
Tb2HoSe4
1.0
3.962 0.000 0.000
-1.981 6.753 0.000
0.000 0.000 13.831
Tb Ho Se
4 2 8
Cartesian
0.000 1.755 5.944
1.981 4.998 12.860
0.000 1.755 0.971
1.981 4.998 7.887
1.981 1.725 10.373
0.000 5.028 3.458
1.981 3.756 1.706
1.981 3.756 5.210
0.000 2.997 12.125
0.000 2.997 8.621
1.981 6.402 10.373
0.000 0.352 3.458
1.981 0.000 0.000
1.981 0.000 6.915
```

Computed properties:
theoretical density = 7.2 g/cm3
energy = -5.80 eV per atom
energy relative to the elements, uncorrected = -1.83 eV per atom

[5]
A relaxed structure of Sm2ThBi. Source: the Alexandria database, functional GGA-PBE.

```
Sm2ThBi
1.0
-0.256 1.127 4.610
-3.928 -3.133 0.548
3.169 -3.781 1.100
Sm Bi Th
2 1 1
Cartesian
1.584 -1.890 0.550
-1.964 -1.566 0.274
-0.128 0.563 2.305
-0.508 -2.893 3.129
```

Computed properties:
theoretical density = 10.1 g/cm3
energy = -5.52 eV per atom
formation enthalpy at 0 K = -0.340 eV/atom
distance to the lowest polymorph of the same formula = 0.032 eV per atom

[6]
A relaxed structure of HgHI3. Source: the Alexandria database, functional GGA-PBE.

```
HgHI3
1.0
-3.387 -3.487 -3.385
0.533 -4.368 3.966
-4.831 1.963 2.811
I H Hg
3 1 1
Cartesian
0.266 -2.184 1.983
-2.415 0.982 1.406
-1.694 -1.744 -1.692
-3.842 -2.946 1.696
0.000 0.000 0.000
```

Computed properties:
theoretical density = 4.7 g/cm3
energy = -1.14 eV per atom
distance to the lowest polymorph of the same formula = 0.671 eV per atom

[7]
A relaxed structure of RbMnRh3. Source: the Alexandria database, functional GGA-PBE.

```
RbMnRh3
1.0
-2.549 2.842 2.914
0.545 -3.169 3.567
4.034 2.224 1.360
Mn Rh Rb
1 3 1
Cartesian
1.014 0.948 3.920
0.272 -1.584 1.784
2.017 1.112 0.680
-1.275 1.421 1.457
0.000 0.000 0.000
```

Computed properties:
theoretical density = 6.7 g/cm3
energy = -4.16 eV per atom
formation enthalpy at 0 K = 2.283 eV/atom
distance to the lowest polymorph of the same formula = 1.397 eV per atom

[8]
A relaxed structure of K2NdAgF6. Source: the Alexandria database, functional GGA-PBE.

```
K2NdAgF6
1.0
0.000 4.699 4.699
4.699 0.000 4.699
4.699 4.699 0.000
K Nd Ag F
2 1 1 6
Cartesian
7.048 7.048 7.048
2.349 2.349 2.349
4.699 4.699 4.699
0.000 0.000 0.000
4.699 2.433 4.699
2.433 4.699 4.699
4.699 6.965 4.699
4.699 4.699 2.433
4.699 4.699 6.965
6.965 4.699 4.699
```

Computed properties:
theoretical density = 3.6 g/cm3
energy = -4.95 eV per atom
distance to the lowest polymorph of the same formula = 0.067 eV per atom
energy relative to the elements, uncorrected = -2.85 eV per atom